Computed, not measured: crystalline CeMg2Zn2Pd at its relaxed geometry at the GGA-PBE level of DFT.

It has space group I4/mmm (No. 139), with a = 5.047 Å, b = 5.047 Å, c = 11.059 Å, α = 90.00°, β = 90.00° and γ = 90.00°. Symmetry generates all atoms from Ce at (0.000, 0.000, 0.000), Mg at (0.000, 0.500, 0.250), Zn at (0.000, 0.000, 0.279) and Pd at (0.000, 0.000, 0.500).

For the formation energy, the calculation gives 0.088 eV per atom.

Computed, not measured: crystalline TiV6Ga2 at its relaxed geometry at the GGA-PBE level of DFT.

It has space group Immm (No. 71), with a = 4.569 Å, b = 5.076 Å, c = 11.347 Å, α = 90.00°, β = 90.00° and γ = 90.00°. Symmetry generates all atoms from Ti at (0.000, 0.000, 0.000), V at (0.000, 0.000, 0.215), V at (0.000, 0.257, 0.397) and Ga at (0.000, 0.500, 0.152).

For the formation energy, the calculation gives 0.044 eV per atom.

Computed, not measured: crystalline La12Pm7Sm at its relaxed geometry at the GGA-PBE level of DFT.

It has space group R-3m (No. 166, hexagonal axes), with a = 19.7573 Å, b = 19.7573 Å, c = 6.4392 Å, α = 90.00°, β = 90.00° and γ = 120.00°. Symmetry generates all atoms from La at (0.0000, 0.4075, 0.0000), La at (0.0960, 0.5480, 0.4790), Pm at (0.0000, 0.0000, 0.0000), Pm at (0.0841, 0.1682, 0.2994) and Sm at (0.0000, 0.0000, 0.5000).

For the formation energy, the calculation gives 0.181 eV per atom.

Computed, not measured: crystalline Ho8Ga2Hg at its relaxed geometry at the GGA-PBE level of DFT.

It has space group C2/m (No. 12), with a = 17.800 Å, b = 4.965 Å, c = 7.014 Å, α = 90.00°, β = 102.88° and γ = 90.00°. Symmetry generates all atoms from Ho at (0.029, 0.000, 0.253), Ho at (0.093, 0.500, 0.962), Ho at (0.166, 0.500, 0.458), Ho at (0.200, 0.000, 0.808), Ga at (0.195, 0.000, 0.226) and Hg at (0.000, 0.500, 0.500).

For the formation energy, the calculation gives -0.269 eV per atom.

Computed, not measured: crystalline Li2VTcN4 at its relaxed geometry at the GGA-PBE level of DFT.

It has space group Pmn2_1 (No. 31), with a = 6.418 Å, b = 5.775 Å, c = 5.144 Å, α = 90.00°, β = 90.00° and γ = 90.00°. Symmetry generates all atoms from Li at (0.248, 0.161, 0.000), V at (0.000, 0.344, 0.502), Tc at (0.000, 0.657, 0.009), N at (0.000, 0.364, 0.857), N at (0.000, 0.640, 0.372) and N at (0.249, 0.194, 0.422).

The formation energy (no corrections) comes out at -371 kJ/mol of formula units.

Computed, not measured: crystalline Pm4DyY5 at its relaxed geometry at the GGA-PBE level of DFT.

It has space group C2/m (No. 12), with a = 17.371 Å, b = 3.556 Å, c = 11.139 Å, α = 90.00°, β = 90.09° and γ = 90.00°. Symmetry generates all atoms from Pm at (0.029, 0.000, 0.249), Pm at (0.153, 0.500, 0.750), Dy at (0.000, 0.500, 0.000), Y at (0.000, 0.500, 0.500), Y at (0.174, 0.000, 0.056) and Y at (0.174, 0.000, 0.443).

For the formation energy, the calculation gives 0.187 eV per atom.

Computed, not measured: crystalline Au3C at its relaxed geometry at the GGA-PBE level of DFT.

It has space group R-3m (No. 166, hexagonal axes), with a = 8.9858 Å, b = 8.9858 Å, c = 2.8201 Å, α = 90.00°, β = 90.00° and γ = 120.00°. Symmetry generates all atoms from Au at (0.0000, 0.5000, 0.0000) and C at (0.0000, 0.0000, 0.0000).

For the formation energy, the calculation gives 1.478 eV per atom.

Computed, not measured: crystalline GaHgBi2 at its relaxed geometry at the GGA-PBE level of DFT.

It has space group R3m (No. 160, hexagonal axes), with a = 4.5051 Å, b = 4.5051 Å, c = 19.9953 Å, α = 90.00°, β = 90.00° and γ = 120.00°. Symmetry generates all atoms from Ga at (0.0000, 0.0000, 0.0000), Hg at (0.0000, 0.0000, 0.8317), Bi at (0.0000, 0.0000, 0.4089) and Bi at (0.0000, 0.0000, 0.5916).

For the formation energy, the calculation gives 0.127 eV per atom.

Record order is preserved below.
Magnetic moment: 2.265; 0.000; 0.000; 0.000; 1.066; 0.001; 0.000; 0.000 μB/cell